Record 1
## Co29O40 (SCAN)

Data for Co29O40 at its PBEsol-relaxed geometry.

Lattice parameters (Å, degrees): 7.9717 9.7597 9.7595 80.40 65.90 65.89
Closest atoms and distances in Å follow each position.
Positions (direct):
Co: 0.1750 0.5502 0.8490  4 O 1.89
Co: 0.8979 0.9004 0.8020  6 O 1.85-1.93
Co: 0.5024 0.9994 0.9994  6 O 1.85-1.93
Co: 0.5757 0.9496 0.6494  4 O 1.89
Co: 0.1985 0.2002 0.8989  6 O 1.85-1.93
Co: 0.3022 0.3000 0.5985  6 O 1.90
Co: 0.9019 0.3975 0.7999  6 O 1.85-1.93
Co: 0.6990 0.6990 0.8996  6 O 1.90
Co: 0.9751 0.3506 0.4497  4 O 1.89
Co: 0.5997 0.5999 0.7000  6 O 1.90
Co: 0.7000 0.7002 0.3990  6 O 1.90
Co: 0.2210 0.8529 0.9507  4 O 1.88-1.91
Co: 0.3000 0.8005 0.5996  6 O 1.90
Co: 0.1002 0.1015 0.7009  6 O 1.85-1.93
Co: 0.3745 0.7500 0.2500  4 O 1.89
Co: 0.0011 0.0002 0.5006  6 O 1.90
Co: 0.6264 0.2488 0.7524  4 O 1.88-1.91
Co: 0.0979 0.1000 0.2002  6 O 1.85-1.93
Co: 0.7030 0.1987 0.3981  6 O 1.85-1.93
Co: 0.5006 0.4996 0.4994  6 O 1.90
Co: 0.4007 0.3998 0.2970  6 O 1.85-1.93
Co: 0.4985 0.4987 0.0010  6 O 1.85-1.93
Co: 0.0250 0.6501 0.5495  4 O 1.89
Co: 0.0979 0.6012 0.1994  6 O 1.90
Co: 0.8997 0.9027 0.2991  6 O 1.85-1.93
Co: 0.7986 0.8015 0.0981  6 O 1.85-1.93
Co: 0.4280 0.0514 0.3467  4 O 1.88-1.91
Co: 0.3016 0.3008 0.0997  6 O 1.85-1.93
Co: 0.8250 0.4472 0.1483  4 O 1.88-1.91
O: 0.9279 0.7131 0.9039  4 Co 1.89-1.90
O: 0.7461 0.9795 0.9930  3 Co 1.85
O: 0.6570 0.8942 0.8136  4 Co 1.89-1.90
O: 0.4341 0.1950 0.9149  4 Co 1.88-1.93
O: 0.3307 0.1144 0.7032  4 Co 1.89-1.90
O: 0.9747 0.2066 0.8789  3 Co 1.85
O: 0.1491 0.3859 0.7936  4 Co 1.89-1.90
O: 0.0592 0.2957 0.6126  4 Co 1.89-1.90
O: 0.7419 0.5041 0.9851  4 Co 1.88-1.91
O: 0.6526 0.4144 0.8049  4 Co 1.89-1.91
O: 0.8323 0.5957 0.7138  4 Co 1.89-1.93
O: 0.4697 0.6871 0.8944  4 Co 1.90-1.93
O: 0.7283 0.5145 0.5045  4 Co 1.89-1.90
O: 0.3669 0.6051 0.6850  4 Co 1.89-1.90
O: 0.5478 0.7856 0.5945  4 Co 1.89-1.90
O: 0.4574 0.6951 0.4140  4 Co 1.89-1.90
O: 0.1423 0.9054 0.7852  4 Co 1.89-1.91
O: 0.0536 0.8144 0.6038  4 Co 1.89-1.93
O: 0.2356 0.9950 0.5125  4 Co 1.90-1.93
O: 0.8728 0.0856 0.6955  4 Co 1.88-1.91
O: 0.1290 0.9143 0.3055  4 Co 1.89-1.90
O: 0.7679 0.0045 0.4865  4 Co 1.89-1.90
O: 0.9487 0.1858 0.3959  4 Co 1.89-1.90
O: 0.8606 0.0936 0.2201  3 Co 1.85
O: 0.5434 0.3052 0.5866  4 Co 1.90-1.93
O: 0.4542 0.2146 0.4036  4 Co 1.88-1.91
O: 0.6332 0.3948 0.3139  4 Co 1.89-1.91
O: 0.2722 0.4858 0.4952  4 Co 1.89-1.93
O: 0.5189 0.3207 0.1061  3 Co 1.85
O: 0.1651 0.4061 0.2854  4 Co 1.89-1.90
O: 0.3452 0.5871 0.1951  4 Co 1.89-1.90
O: 0.2551 0.4964 0.0139  4 Co 1.89-1.90
O: 0.9422 0.7045 0.3852  4 Co 1.89-1.93
O: 0.8516 0.6131 0.2046  4 Co 1.90-1.93
O: 0.0314 0.7961 0.1140  4 Co 1.88-1.91
O: 0.6723 0.8858 0.2941  4 Co 1.89-1.91
O: 0.5658 0.8038 0.0851  4 Co 1.89-1.90
O: 0.3443 0.1052 0.1842  4 Co 1.88-1.93
O: 0.2508 0.0154 0.0047  4 Co 1.88-1.93
O: 0.0712 0.2848 0.0944  4 Co 1.88-1.93

- Magnetization: 29.19 μB per formula unit
- E_form (uncorrected): -1.465 eV/atom
- Fermi-level density of states: 0.601 states/eV per atom

Record 2
## CoO (SCAN)

Data for CoO at its PBEsol-relaxed geometry.

Lattice parameters (Å, degrees): 3.0677 3.0677 3.0677 60.00 60.00 60.00
Closest atoms and distances in Å follow each position.
Positions (direct):
Co: 0.2500 0.2500 0.2500  4 O 1.88
O: 0.5000 0.5000 0.5000  4 Co 1.88

- Magnetization: 2.77 μB per formula unit
- E_form (uncorrected): -0.989 eV/atom
- Fermi-level density of states: 0.454 states/eV per atom

Record 3
## Co5O8 (SCAN)

Data for Co5O8 at its PBEsol-relaxed geometry.

Lattice parameters (Å, degrees): 5.6060 5.6060 5.6060 60.00 60.00 60.00
Closest atoms and distances in Å follow each position.
Positions (direct):
Co: 0.6230 0.1311 0.6230  6 O 1.85-1.92
Co: 0.6230 0.6230 0.6230  6 O 1.85-1.92
Co: 0.0000 0.0000 0.0000  4 O 1.87
Co: 0.1311 0.6230 0.6230  6 O 1.85-1.92
Co: 0.6230 0.6230 0.1311  6 O 1.85-1.92
O: 0.8640 0.4082 0.8640  4 Co 1.87-1.92
O: 0.8640 0.8640 0.8640  4 Co 1.87-1.92
O: 0.8640 0.8640 0.4082  4 Co 1.87-1.92
O: 0.4082 0.8640 0.8640  4 Co 1.87-1.92
O: 0.8278 0.3907 0.3907  3 Co 1.85
O: 0.3907 0.3907 0.8278  3 Co 1.85
O: 0.3907 0.3907 0.3907  3 Co 1.85
O: 0.3907 0.8278 0.3907  3 Co 1.85

- Magnetization: 5.08 μB per formula unit
- E_form (uncorrected): -1.318 eV/atom
- Fermi-level density of states: 0.827 states/eV per atom